Cu2MoPd8: relaxed, PBE.

Cell: 4.629 6.541 6.541 Å, 83.88 78.44 78.44°
Positions (direct):
Cu (0.458, 0.139, 0.139)
Cu (0.542, 0.861, 0.861)
Mo (0.000, 0.000, 0.000)
Pd (0.796, 0.162, 0.674)
Pd (0.204, 0.326, 0.838)
Pd (0.887, 0.265, 0.265)
Pd (0.113, 0.735, 0.735)
Pd (0.796, 0.674, 0.162)
Pd (0.204, 0.838, 0.326)
Pd (0.299, 0.417, 0.417)
Pd (0.701, 0.583, 0.583)

Summary:
D(E_F)	6.6	states/eV per cell
crystal system	monoclinic
E	-5.23	eV per atom
total moment	0.0	μB per cell
space group	C2/m (12)
offset from the most stable computed form	247	meV/atom
ΔE_f	278	meV/atom

=====

Cd2SnAsI: relaxed, PBE.

Cell: 5.455 5.627 5.455 Å, 90.00 90.00 90.00°
Positions (direct):
I (0.500, 0.500, 0.500)
As (0.000, 0.000, 0.000)
Sn (0.000, 0.500, 0.000)
Cd (0.000, 0.000, 0.500)
Cd (0.500, 0.000, 0.000)

Summary:
D(E_F)	3.2	states/eV per cell
crystal system	tetragonal
E	-2.28	eV per atom
total moment	0.0	μB per cell
formation energy (no corrections)	0.127	eV per atom
space group	P4/mmm (123)

=====

MgMnCr2: relaxed, PBE.

Cell: 4.221 3.548 3.548 Å, 90.00 90.00 90.00°
Positions (direct):
Cr (0.000, 0.000, 0.000)
Cr (0.000, 0.500, 0.500)
Mg (0.500, 0.500, 0.000)
Mn (0.500, 0.000, 0.500)

Summary:
D(E_F)	4.9	states/eV per cell
crystal system	tetragonal
E	-6.99	eV per atom
total moment	2.3	μB per cell
space group	P4/mmm (123)
ΔE_f	514	meV/atom

=====

TlNiOs: relaxed, PBE.

Cell: 2.924 2.924 6.615 Å, 90.00 90.00 120.00°
Positions (direct):
Ni (0.000, 0.000, 0.021)
Os (0.333, 0.667, 0.302)
Tl (0.667, 0.333, 0.677)

Summary:
D(E_F)	3.5	states/eV per cell
crystal system	trigonal
E	-5.72	eV per atom
total moment	0.2	μB per cell
space group	P3m1 (156)
offset from the most stable computed form	35	meV/atom
ΔE_f	736	meV/atom

=====

MnTl3S: relaxed, PBE.

Cell: 5.641 5.641 5.641 Å, 90.00 90.00 90.00°
Positions (direct):
Tl (0.000, 0.500, 0.000)
Tl (0.000, 0.000, 0.500)
Tl (0.500, 0.000, 0.000)
Mn (0.500, 0.500, 0.500)
S (0.000, 0.000, 0.000)

Summary:
D(E_F)	4.9	states/eV per cell
crystal system	cubic
E	-3.45	eV per atom
total moment	4.6	μB per cell
formation energy (no corrections)	0.629	eV per atom
space group	Pm-3m (221)
offset from the most stable computed form	229	meV/atom

=====

TiFeSb3: relaxed, PBE.

Cell: 5.216 5.216 5.216 Å, 90.00 90.00 90.00°
Positions (direct):
Sb (0.000, 0.500, 0.000)
Sb (0.000, 0.000, 0.500)
Sb (0.500, 0.000, 0.000)
Fe (0.500, 0.500, 0.500)
Ti (0.000, 0.000, 0.000)

Summary:
D(E_F)	5.4	states/eV per cell
crystal system	cubic
E	-5.03	eV per atom
total moment	3.4	μB per cell
formation energy (no corrections)	0.711	eV per atom
space group	Pm-3m (221)

=====

ReSnW2: relaxed, PBE.

Cell: 3.896 3.896 10.056 Å, 78.83 78.83 90.00°
Positions (direct):
Re (0.000, 0.000, 0.000)
Re (0.750, 0.250, 0.500)
Sn (0.500, 0.500, 0.000)
Sn (0.250, 0.750, 0.500)
W (0.611, 0.125, 0.250)
W (0.139, 0.625, 0.250)
W (0.375, 0.389, 0.750)
W (0.875, 0.861, 0.750)

Summary:
D(E_F)	9.3	states/eV per cell
crystal system	tetragonal
E	-9.51	eV per atom
total moment	0.0	μB per cell
space group	I-42d (122)
ΔE_f	1079	meV/atom

=====

RePdBr2: relaxed, PBE.

Cell: 9.032 9.032 9.032 Å, 20.31 20.31 20.31°
Positions (direct):
Re (0.500, 0.500, 0.500)
Br (0.905, 0.905, 0.905)
Br (0.095, 0.095, 0.095)
Pd (0.000, 0.000, 0.000)

Summary:
D(E_F)	2.3	states/eV per cell
crystal system	trigonal
E	-4.49	eV per atom
total moment	0.0	μB per cell
formation energy (no corrections)	0.752	eV per atom
space group	R-3m (166)
offset from the most stable computed form	0	meV/atom

=====

ReHgGe2Sb: relaxed, PBE.

Cell: 5.336 5.393 5.336 Å, 90.00 90.00 90.00°
Positions (direct):
Re (0.500, 0.500, 0.500)
Ge (0.000, 0.000, 0.500)
Ge (0.500, 0.000, 0.000)
Hg (0.000, 0.500, 0.000)
Sb (0.000, 0.000, 0.000)

Summary:
D(E_F)	3.7	states/eV per cell
crystal system	tetragonal
E	-3.40	eV per atom
total moment	3.7	μB per cell
formation energy (no corrections)	1.825	eV per atom
space group	P4/mmm (123)

=====

Sr2SnP2N6: relaxed, PBE.

Cell: 5.603 5.603 6.607 Å, 64.91 64.91 60.00°
Positions (direct):
Sr (0.788, 0.788, 0.635)
Sr (0.212, 0.212, 0.365)
Sn (0.000, 0.000, 0.000)
P (0.410, 0.410, 0.769)
P (0.590, 0.590, 0.231)
N (0.748, 0.748, 0.244)
N (0.260, 0.748, 0.244)
N (0.748, 0.260, 0.244)
N (0.252, 0.740, 0.756)
N (0.740, 0.252, 0.756)
N (0.252, 0.252, 0.756)

Summary:
D(E_F)	0.9	states/eV per cell
crystal system	trigonal
E	-6.68	eV per atom
total moment	0.0	μB per cell
formation energy (no corrections)	-0.487	eV per atom
space group	R-3m (166)

=====

CaHoGaAu: relaxed, PBE.

Cell: 3.626 3.626 7.243 Å, 90.00 90.00 90.00°
Positions (direct):
Ca (0.000, 0.000, 0.858)
Ho (0.000, 0.000, 0.350)
Ga (0.500, 0.500, 0.589)
Au (0.500, 0.500, 0.130)

Summary:
D(E_F)	1.6	states/eV per cell
crystal system	tetragonal
E	-3.90	eV per atom
total moment	0.0	μB per cell
space group	P4mm (99)
offset from the most stable computed form	0	meV/atom
ΔE_f	-683	meV/atom

=====

BaSr2Ca9: relaxed, PBE.

Cell: 5.680 5.680 17.010 Å, 90.00 90.00 90.00°
Positions (direct):
Ba (0.000, 0.000, 0.000)
Sr (0.000, 0.000, 0.336)
Sr (0.000, 0.000, 0.664)
Ca (0.500, 0.500, 0.000)
Ca (0.500, 0.500, 0.336)
Ca (0.500, 0.500, 0.664)
Ca (0.500, 0.000, 0.171)
Ca (0.500, 0.000, 0.500)
Ca (0.500, 0.000, 0.829)
Ca (0.000, 0.500, 0.171)
Ca (0.000, 0.500, 0.500)
Ca (0.000, 0.500, 0.829)

Summary:
D(E_F)	16.4	states/eV per cell
crystal system	tetragonal
E	-1.92	eV per atom
total moment	0.0	μB per cell
space group	P4/mmm (123)
ΔE_f	20	meV/atom